Computed, not measured: an optimized crystal structure of Li2CdInAu5 at the PBE-GGA level of DFT.

- DFT formation energy: -0.176 eV per atom

```
Li2CdInAu5
1.0
-3.591 3.591 6.387
3.591 -3.591 6.387
3.591 3.591 -6.387
Li Cd In Au
4 2 2 10
direct
0.105 0.605 0.710 Li
0.395 0.105 0.500 Li
0.605 0.895 0.500 Li
0.895 0.395 0.290 Li
0.250 0.750 0.500 Cd
0.750 0.250 0.500 Cd
0.250 0.250 0.000 In
0.750 0.750 0.000 In
0.000 0.000 0.000 Au
0.089 0.171 0.500 Au
0.171 0.671 0.083 Au
0.329 0.411 0.500 Au
0.411 0.911 0.083 Au
0.500 0.500 0.000 Au
0.589 0.089 0.917 Au
0.671 0.589 0.500 Au
0.829 0.329 0.917 Au
0.911 0.829 0.500 Au
```



Computed, not measured: an optimized crystal structure of MnNbPd2 at the PBE-GGA level of DFT.

- Polymorph energy (0 for the lowest one): 0.154 eV per atom
- DFT formation energy: -0.096 eV per atom

```
MnNbPd2
1.0
6.281 0.000 0.000
0.000 6.281 0.000
0.000 0.000 6.281
Mn Nb Pd
4 4 8
direct
0.000 0.000 0.000 Mn
0.000 0.500 0.500 Mn
0.500 0.000 0.500 Mn
0.500 0.500 0.000 Mn
0.250 0.250 0.750 Nb
0.250 0.750 0.250 Nb
0.750 0.250 0.250 Nb
0.750 0.750 0.750 Nb
0.000 0.000 0.500 Pd
0.000 0.500 0.000 Pd
0.250 0.250 0.250 Pd
0.250 0.750 0.750 Pd
0.500 0.000 0.000 Pd
0.500 0.500 0.500 Pd
0.750 0.250 0.750 Pd
0.750 0.750 0.250 Pd
```



Computed, not measured: an optimized crystal structure of Tm12Ga6Ru at the PBE-GGA level of DFT.

- DFT formation energy: -0.229 eV per atom

```
Tm12Ga6Ru
1.0
6.299 3.637 3.923
-6.299 3.637 3.923
0.000 -7.273 3.923
Tm Ga Ru
12 6 1
direct
0.039 0.930 0.683 Tm
0.070 0.317 0.961 Tm
0.182 0.568 0.430 Tm
0.317 0.961 0.070 Tm
0.430 0.182 0.568 Tm
0.432 0.570 0.818 Tm
0.568 0.430 0.182 Tm
0.570 0.818 0.432 Tm
0.683 0.039 0.930 Tm
0.818 0.432 0.570 Tm
0.930 0.683 0.039 Tm
0.961 0.070 0.317 Tm
0.135 0.303 0.622 Ga
0.303 0.622 0.135 Ga
0.378 0.865 0.697 Ga
0.622 0.135 0.303 Ga
0.697 0.378 0.865 Ga
0.865 0.697 0.378 Ga
0.000 0.000 0.000 Ru
```



Computed, not measured: an optimized crystal structure of Li9MgAg2 at the PBE-GGA level of DFT.

- Polymorph energy (0 for the lowest one): 0.036 eV per atom
- DFT formation energy: -0.066 eV per atom

```
Li9MgAg2
1.0
9.272 0.000 0.000
-4.636 8.030 0.000
0.000 0.000 2.966
Li Mg Ag
9 1 2
direct
0.000 0.500 0.000 Li
0.178 0.357 0.500 Li
0.178 0.822 0.500 Li
0.357 0.178 0.500 Li
0.500 0.000 0.000 Li
0.500 0.500 0.000 Li
0.643 0.822 0.500 Li
0.822 0.178 0.500 Li
0.822 0.643 0.500 Li
0.000 0.000 0.000 Mg
0.333 0.667 0.000 Ag
0.667 0.333 0.000 Ag
```



Computed, not measured: an optimized crystal structure of AgRuBr4 at the PBE-GGA level of DFT.

- Polymorph energy (0 for the lowest one): 0.031 eV per atom
- E_form (uncorrected): -232 meV per atom

```
AgRuBr4
1.0
4.131 -8.474 0.000
4.131 8.474 0.000
-3.891 0.000 5.248
Ag Ru Br
2 2 8
direct
0.122 0.878 0.750 Ag
0.878 0.122 0.250 Ag
0.442 0.558 0.250 Ru
0.558 0.442 0.750 Ru
0.121 0.455 0.233 Br
0.240 0.328 0.771 Br
0.328 0.240 0.271 Br
0.455 0.121 0.733 Br
0.545 0.879 0.267 Br
0.672 0.760 0.729 Br
0.760 0.672 0.229 Br
0.879 0.545 0.767 Br
```



Computed, not measured: an optimized crystal structure of K2H2Au at the PBE-GGA level of DFT.

```
K2H2Au
1.0
5.639 0.000 0.000
0.000 3.732 0.000
-0.112 0.000 10.868
K H Au
4 4 2
direct
0.243 0.250 0.183 K
0.252 0.250 0.581 K
0.748 0.750 0.419 K
0.757 0.750 0.817 K
0.248 0.750 0.403 H
0.257 0.750 0.872 H
0.743 0.250 0.128 H
0.752 0.250 0.597 H
0.258 0.250 0.875 Au
0.742 0.750 0.125 Au
```



Computed, not measured: an optimized crystal structure of Ca2AgHg4 at the PBE-GGA level of DFT.

- Polymorph energy (0 for the lowest one): 0.000 eV per atom
- DFT formation energy: -0.291 eV per atom

```
Ca2AgHg4
1.0
2.573 1.485 8.152
-2.573 1.485 8.152
0.000 -2.971 8.152
Ca Ag Hg
2 1 4
direct
0.245 0.245 0.245 Ca
0.755 0.755 0.755 Ca
0.500 0.500 0.500 Ag
0.119 0.119 0.119 Hg
0.372 0.372 0.372 Hg
0.628 0.628 0.628 Hg
0.881 0.881 0.881 Hg
```



Computed, not measured: an optimized crystal structure of Y2MoP at the PBE-GGA level of DFT.

- DFT formation energy: -0.024 eV per atom

```
Y2MoP
1.0
4.135 0.000 0.000
0.000 4.135 0.000
0.000 0.000 10.044
Y Mo P
4 2 2
direct
0.000 0.000 0.000 Y
0.000 0.500 0.250 Y
0.500 0.000 0.750 Y
0.500 0.500 0.500 Y
0.000 0.500 0.750 Mo
0.500 0.000 0.250 Mo
0.000 0.000 0.500 P
0.500 0.500 0.000 P
```



Computed, not measured: an optimized crystal structure of Pr3YEr2Se6 at the PBE-GGA level of DFT.

- E_form (uncorrected): -1792 meV per atom

```
Pr3YEr2Se6
1.0
3.547 -6.170 0.000
3.547 6.170 0.000
-2.379 0.000 6.979
Pr Y Er Se
3 1 2 6
direct
0.000 0.000 0.000 Pr
0.335 0.665 0.000 Pr
0.665 0.335 0.000 Pr
0.500 0.500 0.500 Y
0.166 0.834 0.500 Er
0.834 0.166 0.500 Er
0.087 0.423 0.269 Se
0.240 0.240 0.729 Se
0.423 0.087 0.269 Se
0.577 0.913 0.731 Se
0.760 0.760 0.271 Se
0.913 0.577 0.731 Se
```



Computed, not measured: an optimized crystal structure of RuS5 at the PBE-GGA level of DFT.

- E_form (uncorrected): 35 meV per atom

```
RuS5
1.0
4.819 0.000 0.000
0.000 6.729 0.000
-1.724 0.000 9.403
Ru S
2 10
direct
0.167 0.250 0.285 Ru
0.833 0.750 0.715 Ru
0.193 0.527 0.810 S
0.193 0.973 0.810 S
0.314 0.508 0.436 S
0.314 0.992 0.436 S
0.498 0.750 0.854 S
0.502 0.250 0.146 S
0.686 0.008 0.564 S
0.686 0.492 0.564 S
0.807 0.027 0.190 S
0.807 0.473 0.190 S
```



Computed, not measured: an optimized crystal structure of ZnSbOsI2 at the PBE-GGA level of DFT.

- Polymorph energy (0 for the lowest one): 0.000 eV per atom
- E_form (uncorrected): 691 meV per atom

```
ZnSbOsI2
1.0
5.617 0.000 0.000
0.000 5.617 0.000
0.000 0.000 5.032
Zn Sb Os I
1 1 1 2
direct
0.000 0.000 0.000 Zn
0.500 0.500 0.000 Sb
0.500 0.500 0.500 Os
0.000 0.500 0.500 I
0.500 0.000 0.500 I
```



Computed, not measured: an optimized crystal structure of DyTh3Au7 at the PBE-GGA level of DFT.

- DFT formation energy: -0.623 eV per atom

```
DyTh3Au7
1.0
1.925 -10.898 0.000
1.925 10.898 0.000
0.000 0.000 12.915
Dy Th Au
2 6 14
direct
0.015 0.985 0.750 Dy
0.985 0.015 0.250 Dy
0.136 0.864 0.056 Th
0.136 0.864 0.444 Th
0.217 0.783 0.750 Th
0.783 0.217 0.250 Th
0.864 0.136 0.556 Th
0.864 0.136 0.944 Th
0.275 0.725 0.070 Au
0.275 0.725 0.430 Au
0.371 0.629 0.750 Au
0.397 0.603 0.138 Au
0.397 0.603 0.362 Au
0.470 0.530 0.591 Au
0.470 0.530 0.909 Au
0.530 0.470 0.091 Au
0.530 0.470 0.409 Au
0.603 0.397 0.638 Au
0.603 0.397 0.862 Au
0.629 0.371 0.250 Au
0.725 0.275 0.570 Au
0.725 0.275 0.930 Au
```



Computed, not measured: an optimized crystal structure of YHoZnSn at the PBE-GGA level of DFT.

- DFT formation energy: -0.507 eV per atom

```
YHoZnSn
1.0
7.321 0.000 0.000
0.000 7.321 0.000
0.000 0.000 7.321
Y Ho Zn Sn
4 4 4 4
direct
0.000 0.000 0.000 Y
0.000 0.500 0.500 Y
0.500 0.000 0.500 Y
0.500 0.500 0.000 Y
0.000 0.000 0.500 Ho
0.000 0.500 0.000 Ho
0.500 0.000 0.000 Ho
0.500 0.500 0.500 Ho
0.250 0.250 0.750 Zn
0.250 0.750 0.250 Zn
0.750 0.250 0.250 Zn
0.750 0.750 0.750 Zn
0.250 0.250 0.250 Sn
0.250 0.750 0.750 Sn
0.750 0.250 0.750 Sn
0.750 0.750 0.250 Sn
```



Computed, not measured: an optimized crystal structure of CeTi2In at the PBE-GGA level of DFT.

- Polymorph energy (0 for the lowest one): 0.211 eV per atom
- DFT formation energy: 0.196 eV per atom

```
CeTi2In
1.0
2.993 0.000 0.000
-1.496 2.592 0.000
0.000 0.000 31.472
Ce Ti In
3 6 3
direct
0.000 0.000 0.000 Ce
0.333 0.667 0.667 Ce
0.667 0.333 0.333 Ce
0.000 0.000 0.089 Ti
0.000 0.000 0.911 Ti
0.333 0.667 0.578 Ti
0.333 0.667 0.756 Ti
0.667 0.333 0.244 Ti
0.667 0.333 0.422 Ti
0.000 0.000 0.500 In
0.333 0.667 0.167 In
0.667 0.333 0.833 In
```



Computed, not measured: an optimized crystal structure of Tl2AgPt2 at the PBE-GGA level of DFT.

- Polymorph energy (0 for the lowest one): 0.127 eV per atom
- DFT formation energy: 0.144 eV per atom

```
Tl2AgPt2
1.0
7.871 0.000 0.000
0.000 7.871 0.000
0.000 0.000 3.272
Tl Ag Pt
4 2 4
direct
0.160 0.340 0.000 Tl
0.340 0.840 0.000 Tl
0.660 0.160 0.000 Tl
0.840 0.660 0.000 Tl
0.000 0.000 0.000 Ag
0.500 0.500 0.000 Ag
0.138 0.638 0.500 Pt
0.362 0.138 0.500 Pt
0.638 0.862 0.500 Pt
0.862 0.362 0.500 Pt
```



Computed, not measured: an optimized crystal structure of Pm3InAg at the PBE-GGA level of DFT.

- Polymorph energy (0 for the lowest one): 0.075 eV per atom
- DFT formation energy: -0.199 eV per atom

```
Pm3InAg
1.0
9.596 0.000 0.000
0.000 6.497 0.000
-2.673 0.000 9.514
Pm In Ag
12 4 4
direct
0.028 0.023 0.262 Pm
0.028 0.477 0.762 Pm
0.254 0.245 0.571 Pm
0.254 0.255 0.071 Pm
0.364 0.669 0.343 Pm
0.364 0.831 0.843 Pm
0.636 0.169 0.157 Pm
0.636 0.331 0.657 Pm
0.746 0.745 0.929 Pm
0.746 0.755 0.429 Pm
0.972 0.523 0.238 Pm
0.972 0.977 0.738 Pm
0.139 0.741 0.536 In
0.139 0.759 0.036 In
0.861 0.241 0.964 In
0.861 0.259 0.464 In
0.453 0.141 0.374 Ag
0.453 0.359 0.874 Ag
0.547 0.641 0.126 Ag
0.547 0.859 0.626 Ag
```



Computed, not measured: an optimized crystal structure of Te2PtRh at the PBE-GGA level of DFT.

- Polymorph energy (0 for the lowest one): 0.002 eV per atom
- E_form (uncorrected): -253 meV per atom

```
Te2PtRh
1.0
5.024 0.000 0.000
0.000 4.840 0.000
0.000 0.000 7.687
Te Pt Rh
4 2 2
direct
0.000 0.000 0.000 Te
0.000 0.500 0.500 Te
0.500 0.000 0.487 Te
0.500 0.500 0.987 Te
0.000 0.000 0.343 Pt
0.000 0.500 0.843 Pt
0.500 0.000 0.142 Rh
0.500 0.500 0.642 Rh
```



Computed, not measured: an optimized crystal structure of CsKBaAl2 at the PBE-GGA level of DFT.

- DFT formation energy: 0.952 eV per atom

```
CsKBaAl2
1.0
6.243 0.000 0.000
0.000 6.243 0.000
0.000 0.000 6.493
Cs K Ba Al
1 1 1 2
direct
0.000 0.000 0.000 Cs
0.500 0.500 0.500 K
0.000 0.000 0.500 Ba
0.000 0.500 0.000 Al
0.500 0.000 0.000 Al
```



Computed, not measured: an optimized crystal structure of Ca2YRh at the PBE-GGA level of DFT.

- Polymorph energy (0 for the lowest one): 0.466 eV per atom
- DFT formation energy: 0.121 eV per atom

```
Ca2YRh
1.0
7.430 0.000 0.000
0.000 7.430 0.000
0.000 0.000 7.430
Ca Y Rh
8 4 4
direct
0.250 0.250 0.250 Ca
0.250 0.250 0.750 Ca
0.250 0.750 0.250 Ca
0.250 0.750 0.750 Ca
0.750 0.250 0.250 Ca
0.750 0.250 0.750 Ca
0.750 0.750 0.250 Ca
0.750 0.750 0.750 Ca
0.000 0.000 0.000 Y
0.000 0.500 0.500 Y
0.500 0.000 0.500 Y
0.500 0.500 0.000 Y
0.000 0.000 0.500 Rh
0.000 0.500 0.000 Rh
0.500 0.000 0.000 Rh
0.500 0.500 0.500 Rh
```



Computed, not measured: an optimized crystal structure of CrFeSb2Te at the PBE-GGA level of DFT.

- Polymorph energy (0 for the lowest one): 0.506 eV per atom
- E_form (uncorrected): 1140 meV per atom

```
CrFeSb2Te
1.0
4.976 0.000 0.000
0.000 4.976 0.000
0.000 0.000 5.180
Cr Fe Sb Te
1 1 2 1
direct
0.000 0.000 0.000 Cr
0.500 0.500 0.500 Fe
0.000 0.500 0.000 Sb
0.500 0.000 0.000 Sb
0.000 0.000 0.500 Te
```



Computed, not measured: an optimized crystal structure of BIrW at the PBE-GGA level of DFT.

- DFT formation energy: -0.075 eV per atom

```
BIrW
1.0
2.749 0.000 0.000
0.000 2.749 0.000
0.000 0.000 9.644
B Ir W
2 2 2
direct
0.000 0.000 0.000 B
0.500 0.500 0.500 B
0.000 0.000 0.624 Ir
0.500 0.500 0.124 Ir
0.000 0.000 0.339 W
0.500 0.500 0.839 W
```



Computed, not measured: an optimized crystal structure of SrOsOF2 at the PBE-GGA level of DFT.

- Polymorph energy (0 for the lowest one): 0.954 eV per atom
- E_form (uncorrected): -521 meV per atom

```
SrOsOF2
1.0
4.500 0.000 0.000
0.000 4.500 0.000
0.000 0.000 4.966
Sr Os O F
1 1 1 2
direct
0.000 0.000 0.000 Sr
0.500 0.500 0.500 Os
0.000 0.000 0.500 O
0.000 0.500 0.000 F
0.500 0.000 0.000 F
```



Computed, not measured: an optimized crystal structure of Ba2HgCCl at the PBE-GGA level of DFT.

- E_form (uncorrected): 44 meV per atom

```
Ba2HgCCl
1.0
6.495 0.000 0.000
0.000 6.495 0.000
0.000 0.000 4.014
Ba Hg C Cl
2 1 1 1
direct
0.000 0.500 0.000 Ba
0.500 0.000 0.000 Ba
0.000 0.000 0.000 Hg
0.000 0.000 0.500 C
0.500 0.500 0.500 Cl
```



| no. | uncorrected energy (eV per atom) |
| --- | --- |
| 1 | -2.828 |
| 2 | -7.502 |
| 3 | -4.497 |
| 4 | -2.110 |
| 5 | -3.368 |
| 6 | -2.564 |
| 7 | -1.443 |
| 8 | -7.316 |
| 9 | -6.028 |
| 10 | -4.951 |
| 11 | -3.254 |
| 12 | -5.151 |
| 13 | -4.586 |
| 14 | -5.920 |
| 15 | -3.790 |
| 16 | -4.167 |
| 17 | -5.172 |
| 18 | -1.320 |
| 19 | -4.333 |
| 20 | -4.755 |
| 21 | -9.572 |
| 22 | -4.843 |
| 23 | -2.999 |